Entry 1:
# Pm2Zn2Sn, relaxed, DFT PBE-GGA
data_Pm2Zn2Sn
_cell_length_a 6.023
_cell_length_b 6.023
_cell_length_c 10.884
_cell_angle_alpha 114.53
_cell_angle_beta 114.53
_cell_angle_gamma 44.48
_space_group_name_H-M_alt 'P 1'
_space_group_IT_number 1
_space_group_name_Hall 'P 1'
loop_
_atom_site_label
_atom_site_type_symbol
_atom_site_fract_x
_atom_site_fract_y
_atom_site_fract_z
_atom_site_occupancy
Pm1 Pm 0.010 0.010 0.329 1
Pm2 Pm 0.183 0.183 0.093 1
Pm3 Pm 0.817 0.817 0.907 1
Pm4 Pm 0.990 0.990 0.671 1
Zn1 Zn 0.369 0.369 0.446 1
Zn2 Zn 0.473 0.473 0.109 1
Zn3 Zn 0.527 0.527 0.891 1
Zn4 Zn 0.631 0.631 0.554 1
Sn1 Sn 0.277 0.277 0.666 1
Sn2 Sn 0.723 0.723 0.334 1
# **Crystal system**: monoclinic
# **Distance to the lowest polymorph of the same formula**: 0.034 eV/atom
# **Raw total energy**: -3.6765 eV per atom
# **Symmetry**: C2/m
# **ρ**: 7.2 g/cm³

Entry 2:
# Pm4Zn2Sn, relaxed, DFT PBE-GGA
data_Pm4Zn2Sn
_cell_length_a 8.934
_cell_length_b 8.934
_cell_length_c 8.934
_cell_angle_alpha 33.71
_cell_angle_beta 33.71
_cell_angle_gamma 33.71
_space_group_name_H-M_alt 'P 1'
_space_group_IT_number 1
_space_group_name_Hall 'P 1'
loop_
_atom_site_label
_atom_site_type_symbol
_atom_site_fract_x
_atom_site_fract_y
_atom_site_fract_z
_atom_site_occupancy
Pm1 Pm 0.116 0.116 0.116 1
Pm2 Pm 0.368 0.368 0.368 1
Pm3 Pm 0.632 0.632 0.632 1
Pm4 Pm 0.884 0.884 0.884 1
Zn1 Zn 0.249 0.249 0.249 1
Zn2 Zn 0.751 0.751 0.751 1
Sn1 Sn 0.500 0.500 0.500 1
# **Crystal system**: trigonal
# **Raw total energy**: -3.9381 eV per atom
# **Symmetry**: R-3m
# **ρ**: 7.0 g/cm³

> Among the records above, which one has the highest raw total energy?

Pm2Zn2Sn

> Among the records above, which one has the highest raw total energy?

Pm2Zn2Sn

> What is the ρ in the second record?

7.0 g/cm³